<i>
First-principles (GGA-PBE) data for crystalline SbPW2 at its relaxed geometry, as listed in Alexandria.

Cell lengths 3.293, 3.293, 6.316 Å; angles 90.00, 90.00, 90.00 degrees
Positions (direct):
Sb1 0.000 0.000 0.000
P1 0.500 0.500 0.659
W1 0.000 0.000 0.534
W2 0.500 0.500 0.247

Computed properties:
Spin magnetization, μB per formula unit: 0.00
Crystal system: tetragonal

<ii>
First-principles (GGA-PBE) data for crystalline SbPW2 at its relaxed geometry, as listed in Alexandria.

Cell lengths 7.041, 7.041, 7.041 Å; angles 154.20, 152.20, 38.29 degrees
Positions (direct):
Sb1 0.000 0.000 0.000
P1 0.252 0.752 0.500
W1 0.623 0.623 0.000
W2 0.815 0.315 0.500

Computed properties:
Spin magnetization, μB per formula unit: 0.00
Crystal system: orthorhombic

Of them, <i> has the highest stability.

<i>
First-principles (GGA-PBE) data for crystalline SbPW2 at its relaxed geometry, as listed in Alexandria.

Cell lengths 2.903, 2.903, 9.502 Å; angles 90.00, 90.00, 109.84 degrees
Positions (direct):
Sb1 0.000 0.000 0.000
P1 0.500 0.500 0.664
W1 0.000 0.000 0.475
W2 0.500 0.500 0.247

Computed properties:
Spin magnetization, μB per formula unit: 0.00
Crystal system: orthorhombic

<ii>
First-principles (GGA-PBE) data for crystalline SbPW2 at its relaxed geometry, as listed in Alexandria.

Cell lengths 3.068, 3.068, 8.008 Å; angles 90.00, 90.00, 113.41 degrees
Positions (direct):
Sb1 0.000 0.000 0.000
P1 0.000 0.000 0.500
W1 0.500 0.500 0.292
W2 0.500 0.500 0.708

Computed properties:
Spin magnetization, μB per formula unit: 0.00
Crystal system: orthorhombic

<iii>
First-principles (GGA-PBE) data for crystalline SbPW2 at its relaxed geometry, as listed in Alexandria.

Cell lengths 9.205, 9.205, 9.205 Å; angles 153.60, 153.60, 37.68 degrees
Positions (direct):
Sb1 0.000 0.000 0.000
Sb2 0.750 0.250 0.500
P1 0.250 0.750 0.500
P2 0.500 0.500 0.000
W1 0.196 0.625 0.071
W2 0.375 0.446 0.571
W3 0.554 0.125 0.929
W4 0.875 0.804 0.429

Computed properties:
Spin magnetization, μB per formula unit: 0.00
Crystal system: tetragonal

<iv>
First-principles (GGA-PBE) data for crystalline SbPW2 at its relaxed geometry, as listed in Alexandria.

Cell lengths 4.590, 4.590, 4.590 Å; angles 60.00, 60.00, 60.00 degrees
Positions (direct):
Sb1 0.000 0.000 0.000
P1 0.750 0.750 0.750
W1 0.250 0.250 0.250
W2 0.500 0.500 0.500

Computed properties:
Spin magnetization, μB per formula unit: 0.00
Crystal system: cubic

Of them, <i> has the highest stability.

<i>
First-principles (GGA-PBE) data for crystalline Sb3PW at its relaxed geometry, as listed in Alexandria.

Cell lengths 5.026, 5.026, 5.026 Å; angles 90.00, 90.00, 90.00 degrees
Positions (direct):
Sb1 0.000 0.000 0.500
Sb2 0.000 0.500 0.000
Sb3 0.500 0.000 0.000
P1 0.000 0.000 0.000
W1 0.500 0.500 0.500

Computed properties:
Spin magnetization, μB per formula unit: 2.61
Crystal system: cubic

<ii>
First-principles (GGA-PBE) data for crystalline Sb3PW at its relaxed geometry, as listed in Alexandria.

Cell lengths 5.196, 5.196, 5.196 Å; angles 90.00, 90.00, 90.00 degrees
Positions (direct):
Sb1 0.000 0.000 0.500
Sb2 0.000 0.500 0.000
Sb3 0.500 0.000 0.000
P1 0.500 0.500 0.500
W1 0.000 0.000 0.000

Computed properties:
Spin magnetization, μB per formula unit: 0.20
Crystal system: cubic

Of them, <ii> has the highest stability.

<i>
First-principles (GGA-PBE) data for crystalline SbPW3 at its relaxed geometry, as listed in Alexandria.

Cell lengths 4.904, 4.904, 4.904 Å; angles 90.00, 90.00, 90.00 degrees
Positions (direct):
Sb1 0.000 0.000 0.000
P1 0.500 0.500 0.500
W1 0.000 0.000 0.500
W2 0.000 0.500 0.000
W3 0.500 0.000 0.000

Computed properties:
Spin magnetization, μB per formula unit: 0.00
Crystal system: cubic

<ii>
First-principles (GGA-PBE) data for crystalline SbPW3 at its relaxed geometry, as listed in Alexandria.

Cell lengths 4.516, 4.516, 4.516 Å; angles 90.00, 90.00, 90.00 degrees
Positions (direct):
Sb1 0.000 0.000 0.000
P1 0.500 0.500 0.500
W1 0.000 0.500 0.500
W2 0.500 0.000 0.500
W3 0.500 0.500 0.000

Computed properties:
Spin magnetization, μB per formula unit: 0.00
Crystal system: cubic

Of them, <ii> has the highest stability.

<i>
First-principles (GGA-PBE) data for crystalline YSb3P at its relaxed geometry, as listed in Alexandria.

Cell lengths 5.190, 5.190, 5.190 Å; angles 90.00, 90.00, 90.00 degrees
Positions (direct):
Y1 0.000 0.000 0.000
Sb1 0.000 0.500 0.500
Sb2 0.500 0.000 0.500
Sb3 0.500 0.500 0.000
P1 0.500 0.500 0.500

Computed properties:
Spin magnetization, μB per formula unit: 0.00
Crystal system: cubic

<ii>
First-principles (GGA-PBE) data for crystalline YSb3P at its relaxed geometry, as listed in Alexandria.

Cell lengths 5.773, 5.773, 5.773 Å; angles 90.00, 90.00, 90.00 degrees
Positions (direct):
Y1 0.000 0.000 0.000
Sb1 0.000 0.000 0.500
Sb2 0.000 0.500 0.000
Sb3 0.500 0.000 0.000
P1 0.500 0.500 0.500

Computed properties:
Spin magnetization, μB per formula unit: 2.45
Crystal system: cubic

Of them, <i> has the highest stability.